Material: CuHgBRh2
Method: DFT, PBE
State: optimized geometry

The space group is P4/mmm (No. 123) and the conventional cell measures 4.149, 4.149 and 4.077 Å, with angles of 90.00, 90.00 and 90.00 degrees. The distinct sites, in fractional coordinates, are Cu at (0.000, 0.000, 0.000), Hg at (0.500, 0.500, 0.000), B at (0.000, 0.000, 0.500) and Rh at (0.000, 0.500, 0.500).

For the uncorrected energy, the calculation gives -5.21 eV per atom. The calculation puts the spin magnetization at 0.00 Bohr magnetons per cell. For the density of states at the Fermi level, the calculation gives 1.5 states/eV/f.u. For the formation energy, the calculation gives -59 meV per atom.


Material: CuHgB2Rh
Method: DFT, PBE
State: optimized geometry

The space group is P4/mmm (No. 123) and the conventional cell measures 4.119, 4.119 and 4.847 Å, with angles of 90.00, 90.00 and 90.00 degrees. The distinct sites, in fractional coordinates, are Cu at (0.000, 0.000, 0.000), Hg at (0.000, 0.000, 0.500), B at (0.000, 0.500, 0.500) and Rh at (0.500, 0.500, 0.000).

For the uncorrected energy, the calculation gives -3.08 eV per atom. The calculation puts the spin magnetization at 0.00 Bohr magnetons per cell. For the density of states at the Fermi level, the calculation gives 2.9 states/eV/f.u. For the formation energy, the calculation gives 1944 meV per atom.


Material: Cu2HgBS4
Method: DFT, PBE
State: optimized geometry

The space group is I-42m (No. 121) and the conventional cell measures 5.361, 5.361 and 9.871 Å, with angles of 90.00, 90.00 and 90.00 degrees. The distinct sites, in fractional coordinates, are Cu at (0.000, 0.500, 0.250), Hg at (0.000, 0.000, 0.000), B at (0.000, 0.000, 0.500) and S at (0.199, 0.199, 0.623).

The uncorrected formation energy comes out at -0.25 eV/atom. For the uncorrected energy, the calculation gives -4.21 eV per atom. The calculation puts the spin magnetization at 0.00 Bohr magnetons per cell. For the density of states at the Fermi level, the calculation gives 7.2 states/eV/f.u.


Material: CuHgBS2
Method: DFT, PBE
State: optimized geometry

The space group is P4/mmm (No. 123) and the conventional cell measures 4.387, 4.387 and 5.626 Å, with angles of 90.00, 90.00 and 90.00 degrees. The distinct sites, in fractional coordinates, are Cu at (0.000, 0.000, 0.000), Hg at (0.000, 0.000, 0.500), B at (0.500, 0.500, 0.500) and S at (0.000, 0.500, 0.000).

The uncorrected formation energy comes out at 1.22 eV/atom. For the uncorrected energy, the calculation gives -2.65 eV per atom. The calculation puts the spin magnetization at 0.00 Bohr magnetons per cell. For the density of states at the Fermi level, the calculation gives 3.2 states/eV/f.u.


Material: CuHgB2Sb
Method: DFT, PBE
State: optimized geometry

The space group is P4/mmm (No. 123) and the conventional cell measures 4.304, 4.304 and 6.387 Å, with angles of 90.00, 90.00 and 90.00 degrees. The distinct sites, in fractional coordinates, are Cu at (0.000, 0.000, 0.000), Hg at (0.500, 0.500, 0.000), B at (0.000, 0.500, 0.500) and Sb at (0.500, 0.500, 0.500).

The uncorrected formation energy comes out at 1.83 eV/atom. For the uncorrected energy, the calculation gives -2.55 eV per atom. The calculation puts the spin magnetization at 0.00 Bohr magnetons per cell. For the density of states at the Fermi level, the calculation gives 3.0 states/eV/f.u.


Material: Cu2HgBSe4
Method: DFT, PBE
State: optimized geometry

The space group is I-42m (No. 121) and the conventional cell measures 5.664, 5.664 and 10.455 Å, with angles of 90.00, 90.00 and 90.00 degrees. The distinct sites, in fractional coordinates, are Cu at (0.000, 0.500, 0.250), Hg at (0.000, 0.000, 0.000), B at (0.000, 0.000, 0.500) and Se at (0.204, 0.204, 0.625).

The uncorrected formation energy comes out at -0.15 eV/atom. For the uncorrected energy, the calculation gives -3.78 eV per atom. The calculation puts the spin magnetization at 0.00 Bohr magnetons per cell. For the density of states at the Fermi level, the calculation gives 6.6 states/eV/f.u.


Material: CuHg2BSe4
Method: DFT, PBE
State: optimized geometry

The space group is I-4 (No. 82) and the conventional cell measures 5.847, 5.847 and 10.887 Å, with angles of 90.00, 90.00 and 90.00 degrees. The distinct sites, in fractional coordinates, are Cu at (0.000, 0.000, 0.000), Hg at (0.000, 0.000, 0.500), Hg at (0.000, 0.500, 0.750), B at (0.000, 0.500, 0.250) and Se at (0.182, 0.278, 0.135).

The uncorrected formation energy comes out at -0.15 eV/atom. For the uncorrected energy, the calculation gives -3.31 eV per atom. The calculation puts the spin magnetization at 0.00 Bohr magnetons per cell. For the density of states at the Fermi level, the calculation gives 2.1 states/eV/f.u.


Material: SrCuHg2B
Method: DFT, PBE
State: optimized geometry

The space group is P4/mmm (No. 123) and the conventional cell measures 4.496, 4.496 and 5.872 Å, with angles of 90.00, 90.00 and 90.00 degrees. The distinct sites, in fractional coordinates, are Sr at (0.000, 0.000, 0.000), Cu at (0.500, 0.500, 0.000), Hg at (0.000, 0.500, 0.500) and B at (0.000, 0.000, 0.500).

For the uncorrected energy, the calculation gives -2.23 eV per atom. The calculation puts the spin magnetization at 0.00 Bohr magnetons per cell. For the density of states at the Fermi level, the calculation gives 0.9 states/eV/f.u. For the formation energy, the calculation gives 385 meV per atom.


Material: Cu2HgBTe
Method: DFT, PBE
State: optimized geometry

The space group is P4/mmm (No. 123) and the conventional cell measures 5.002, 5.002 and 4.137 Å, with angles of 90.00, 90.00 and 90.00 degrees. The distinct sites, in fractional coordinates, are Cu at (0.000, 0.500, 0.000), Hg at (0.000, 0.000, 0.000), B at (0.000, 0.000, 0.500) and Te at (0.500, 0.500, 0.500).

The uncorrected formation energy comes out at 1.08 eV/atom. For the uncorrected energy, the calculation gives -2.58 eV per atom. The calculation puts the spin magnetization at 0.00 Bohr magnetons per cell. For the density of states at the Fermi level, the calculation gives 3.2 states/eV/f.u.


Material: Y2CuHgB
Method: DFT, PBE
State: optimized geometry

The space group is P4/mmm (No. 123) and the conventional cell measures 5.136, 5.136 and 3.956 Å, with angles of 90.00, 90.00 and 90.00 degrees. The distinct sites, in fractional coordinates, are Y at (0.000, 0.500, 0.000), Cu at (0.000, 0.000, 0.500), Hg at (0.500, 0.500, 0.500) and B at (0.000, 0.000, 0.000).

For the uncorrected energy, the calculation gives -5.03 eV per atom. The calculation puts the spin magnetization at 0.00 Bohr magnetons per cell. For the density of states at the Fermi level, the calculation gives 4.8 states/eV/f.u. For the formation energy, the calculation gives -226 meV per atom.


Material: HoCu2B2
Method: DFT, PBE
State: optimized geometry

The space group is C2/c (No. 15) and the conventional cell measures 5.465, 8.956 and 5.944 Å, with angles of 90.00, 117.35 and 90.00 degrees. The distinct sites, in fractional coordinates, are Ho at (0.000, 0.125, 0.250), Cu at (0.118, 0.375, 0.985), B at (0.000, 0.185, 0.750) and B at (0.000, 0.435, 0.250).

For the uncorrected energy, the calculation gives -5.19 eV per atom. The calculation puts the spin magnetization at 0.00 Bohr magnetons per cell. For the density of states at the Fermi level, the calculation gives 2.3 states/eV/f.u. For the formation energy, the calculation gives 34 meV per atom.


Material: HoCuB
Method: DFT, PBE
State: optimized geometry

The space group is C2/m (No. 12) and the conventional cell measures 8.395, 3.739 and 6.511 Å, with angles of 90.00, 101.86 and 90.00 degrees. The distinct sites, in fractional coordinates, are Ho at (0.101, 0.000, 0.291), Cu at (0.140, 0.500, 0.925) and B at (0.080, 0.500, 0.587).

For the uncorrected energy, the calculation gives -5.29 eV per atom. The calculation puts the spin magnetization at 0.00 Bohr magnetons per cell. For the density of states at the Fermi level, the calculation gives 1.2 states/eV/f.u. For the formation energy, the calculation gives -168 meV per atom.


Material: Ho2CuNi12B3
Method: DFT, PBE
State: optimized geometry

The space group is R-3m (No. 166, hexagonal axes) and the conventional cell measures 7.0367, 7.0367 and 16.1183 Å, with angles of 90.00, 90.00 and 120.00 degrees. The distinct sites, in fractional coordinates, are Ho at (0.0000, 0.0000, 0.0946), Cu at (0.0000, 0.0000, 0.5000), Ni at (0.0469, 0.5235, 0.8811), Ni at (0.0691, 0.5346, 0.3062) and B at (0.0000, 0.5000, 0.0000).

For the uncorrected energy, the calculation gives -5.73 eV per atom. The calculation puts the spin magnetization at 0.00 Bohr magnetons per cell. For the density of states at the Fermi level, the calculation gives 11.5 states/eV/f.u. For the formation energy, the calculation gives -27 meV per atom.


Material: HoCu2B2O6
Method: DFT, PBE
State: optimized geometry

The space group is P-3 (No. 147) and the conventional cell measures 5.0981, 5.0981 and 6.1074 Å, with angles of 90.00, 90.00 and 120.00 degrees. The distinct sites, in fractional coordinates, are Ho at (0.0000, 0.0000, 0.0000), Cu at (0.3333, 0.6667, 0.2670), B at (0.3333, 0.6667, 0.7721) and O at (0.0703, 0.6831, 0.7762).

The uncorrected formation energy comes out at -2.01 eV/atom. For the uncorrected energy, the calculation gives -7.09 eV per atom. The calculation puts the spin magnetization at 1.04 Bohr magnetons per cell. For the density of states at the Fermi level, the calculation gives 6.8 states/eV/f.u.